First-principles (GGA+U) data for an optimized crystal structure of Ca3TbMn4O12, as listed in Alexandria via LeMat-Bulk.

Cell lengths 5.3475, 7.5960, 5.4675 Å; angles 90.00, 90.21, 90.00 degrees
Space group Pm (No. 6)
Inequivalent atoms, fractional coordinates:
Ca 0.0000 0.0000 0.0000
Ca 0.0227 0.5000 0.0972
Ca 0.5217 0.0000 0.5011
Tb 0.5002 0.5000 0.6056
Mn 0.0105 0.2483 0.5474
Mn 0.5132 0.2482 0.0512
O 0.0923 0.0000 0.5740
O 0.2258 0.3006 0.8327
O 0.3091 0.2968 0.3436
O 0.4283 0.0000 0.0696
O 0.5934 0.5000 0.0250
O 0.7130 0.2146 0.7511
O 0.8084 0.2074 0.2538
O 0.9222 0.5000 0.5267

V: 11.10 A^3/atom
E_tot: -7.23 eV per atom